[1]
NaBeCuP after structural relaxation, computed with GGA-PBE.

space group = P4/nmm
spin magnetization = 0.0 μB per formula unit
ΔH_f (0 K) = -0.1482 eV/atom

Geometry as CIF:
```
data_NaBeCuP
_chemical_formula_sum 'Na2 Be2 Cu2 P2'
_cell_length_a 3.479
_cell_length_b 3.479
_cell_length_c 11.134
_cell_angle_alpha 90.00
_cell_angle_beta 90.00
_cell_angle_gamma 90.00
_symmetry_space_group_name_H-M 'P 1'
_symmetry_Int_Tables_number 1
loop_
_symmetry_equiv_pos_as_xyz
'x,y,z'
loop_
_atom_site_label
_atom_site_type_symbol
_atom_site_fract_x
_atom_site_fract_y
_atom_site_fract_z
_atom_site_occupancy
Na1 Na 0.250 0.250 0.237 1
Na2 Na 0.750 0.750 0.763 1
Be1 Be 0.250 0.750 0.500 1
Be2 Be 0.750 0.250 0.500 1
Cu1 Cu 0.250 0.750 0.000 1
Cu2 Cu 0.750 0.250 0.000 1
P1 P 0.250 0.250 0.620 1
P2 P 0.750 0.750 0.380 1
```



[2]
NaBeCu2Pd after structural relaxation, computed with GGA-PBE.

space group = P4/mmm
spin magnetization = 0.0 μB per formula unit
ΔH_f (0 K) = 1.3642 eV/atom

Geometry as CIF:
```
data_NaBeCu2Pd
_chemical_formula_sum 'Na1 Be1 Cu2 Pd1'
_cell_length_a 4.356
_cell_length_b 4.356
_cell_length_c 4.324
_cell_angle_alpha 90.00
_cell_angle_beta 90.00
_cell_angle_gamma 90.00
_symmetry_space_group_name_H-M 'P 1'
_symmetry_Int_Tables_number 1
loop_
_symmetry_equiv_pos_as_xyz
'x,y,z'
loop_
_atom_site_label
_atom_site_type_symbol
_atom_site_fract_x
_atom_site_fract_y
_atom_site_fract_z
_atom_site_occupancy
Na1 Na 0.000 0.000 0.000 1
Be1 Be 0.000 0.000 0.500 1
Cu1 Cu 0.000 0.500 0.000 1
Cu2 Cu 0.500 0.000 0.000 1
Pd1 Pd 0.500 0.500 0.500 1
```



[3]
Na2BeCuRu after structural relaxation, computed with GGA-PBE.

space group = P4/mmm
spin magnetization = 2.1 μB per formula unit
ΔH_f (0 K) = 1.2468 eV/atom

Geometry as CIF:
```
data_Na2BeCuRu
_chemical_formula_sum 'Na2 Be1 Cu1 Ru1'
_cell_length_a 4.966
_cell_length_b 4.966
_cell_length_c 4.186
_cell_angle_alpha 90.00
_cell_angle_beta 90.00
_cell_angle_gamma 90.00
_symmetry_space_group_name_H-M 'P 1'
_symmetry_Int_Tables_number 1
loop_
_symmetry_equiv_pos_as_xyz
'x,y,z'
loop_
_atom_site_label
_atom_site_type_symbol
_atom_site_fract_x
_atom_site_fract_y
_atom_site_fract_z
_atom_site_occupancy
Na1 Na 0.000 0.500 0.000 1
Na2 Na 0.500 0.000 0.000 1
Be1 Be 0.000 0.000 0.500 1
Cu1 Cu 0.000 0.000 0.000 1
Ru1 Ru 0.500 0.500 0.500 1
```



[4]
NaBeCuS2 after structural relaxation, computed with GGA-PBE.

space group = P2/c
spin magnetization = 0.0 μB per formula unit
formation energy from raw total energies = -0.748 eV per atom

Geometry as CIF:
```
data_NaBeCuS2
_chemical_formula_sum 'Na2 Be2 Cu2 S4'
_cell_length_a 6.286
_cell_length_b 5.883
_cell_length_c 5.408
_cell_angle_alpha 90.00
_cell_angle_beta 103.19
_cell_angle_gamma 90.00
_symmetry_space_group_name_H-M 'P 1'
_symmetry_Int_Tables_number 1
loop_
_symmetry_equiv_pos_as_xyz
'x,y,z'
loop_
_atom_site_label
_atom_site_type_symbol
_atom_site_fract_x
_atom_site_fract_y
_atom_site_fract_z
_atom_site_occupancy
Na1 Na 0.000 0.196 0.250 1
Na2 Na 0.000 0.804 0.750 1
Be1 Be 0.500 0.004 0.250 1
Be2 Be 0.500 0.996 0.750 1
Cu1 Cu 0.500 0.500 0.000 1
Cu2 Cu 0.500 0.500 0.500 1
S1 S 0.302 0.193 0.945 1
S2 S 0.302 0.807 0.445 1
S3 S 0.698 0.193 0.555 1
S4 S 0.698 0.807 0.055 1
```



[5]
NaScBeCu2 after structural relaxation, computed with GGA-PBE.

space group = P4/mmm
spin magnetization = 0.0 μB per formula unit
ΔH_f (0 K) = 1.0167 eV/atom

Geometry as CIF:
```
data_NaScBeCu2
_chemical_formula_sum 'Na1 Sc1 Be1 Cu2'
_cell_length_a 4.515
_cell_length_b 4.515
_cell_length_c 4.449
_cell_angle_alpha 90.00
_cell_angle_beta 90.00
_cell_angle_gamma 90.00
_symmetry_space_group_name_H-M 'P 1'
_symmetry_Int_Tables_number 1
loop_
_symmetry_equiv_pos_as_xyz
'x,y,z'
loop_
_atom_site_label
_atom_site_type_symbol
_atom_site_fract_x
_atom_site_fract_y
_atom_site_fract_z
_atom_site_occupancy
Na1 Na 0.000 0.000 0.000 1
Sc1 Sc 0.500 0.500 0.500 1
Be1 Be 0.000 0.000 0.500 1
Cu1 Cu 0.000 0.500 0.000 1
Cu2 Cu 0.500 0.000 0.000 1
```



[6]
NaBeCuSe2 after structural relaxation, computed with GGA-PBE.

space group = P4/mmm
spin magnetization = 0.0 μB per formula unit
formation energy from raw total energies = 0.527 eV per atom

Geometry as CIF:
```
data_NaBeCuSe2
_chemical_formula_sum 'Na1 Be1 Cu1 Se2'
_cell_length_a 4.798
_cell_length_b 4.798
_cell_length_c 4.867
_cell_angle_alpha 90.00
_cell_angle_beta 90.00
_cell_angle_gamma 90.00
_symmetry_space_group_name_H-M 'P 1'
_symmetry_Int_Tables_number 1
loop_
_symmetry_equiv_pos_as_xyz
'x,y,z'
loop_
_atom_site_label
_atom_site_type_symbol
_atom_site_fract_x
_atom_site_fract_y
_atom_site_fract_z
_atom_site_occupancy
Na1 Na 0.000 0.000 0.000 1
Be1 Be 0.500 0.500 0.000 1
Cu1 Cu 0.000 0.000 0.500 1
Se1 Se 0.000 0.500 0.500 1
Se2 Se 0.500 0.000 0.500 1
```



What did the fifth record say?
NaScBeCu2 after structural relaxation, computed with GGA-PBE.

space group = P4/mmm
spin magnetization = 0.0 μB per formula unit
ΔH_f (0 K) = 1.0167 eV/atom

Geometry as CIF:
```
data_NaScBeCu2
_chemical_formula_sum 'Na1 Sc1 Be1 Cu2'
_cell_length_a 4.515
_cell_length_b 4.515
_cell_length_c 4.449
_cell_angle_alpha 90.00
_cell_angle_beta 90.00
_cell_angle_gamma 90.00
_symmetry_space_group_name_H-M 'P 1'
_symmetry_Int_Tables_number 1
loop_
_symmetry_equiv_pos_as_xyz
'x,y,z'
loop_
_atom_site_label
_atom_site_type_symbol
_atom_site_fract_x
_atom_site_fract_y
_atom_site_fract_z
_atom_site_occupancy
Na1 Na 0.000 0.000 0.000 1
Sc1 Sc 0.500 0.500 0.500 1
Be1 Be 0.000 0.000 0.500 1
Cu1 Cu 0.000 0.500 0.000 1
Cu2 Cu 0.500 0.000 0.000 1
```